Density functional theory data (PBE) for Dy3Y7Tm after structural relaxation.

```
Dy3Y7Tm
1.0
8.334 -0.794 -2.887
-2.251 9.786 -0.592
-1.878 -0.115 5.197
Dy Y Tm
3 7 1
direct
0.219 0.997 0.719
0.000 0.500 0.000
0.781 0.003 0.281
0.908 0.830 0.908
0.818 0.637 0.318
0.641 0.289 0.141
0.359 0.711 0.859
0.500 0.000 0.500
0.182 0.363 0.682
0.092 0.170 0.092
0.500 0.500 0.500
```

Space-group type ... P2/m, No. 10
ΔE to the lowest computed polymorph ... 0.000 eV per atom
N(E_F) ... 19.67 states/eV/f.u.
ΔE_f ... 147 meV/atom
Magnetic moment ... 0.00 Bohr magnetons per cell